Entry from Alexandria via LeMat-Bulk: a relaxed GdCrAs2 crystal (PBE-GGA).

```
4
Lattice="-3.345 -0.818 1.957 0.103 -2.304 3.220 -0.250 3.814 5.172" Properties=species:S:1:pos:R:3 pbc="T T T"
As -2.581 0.742 7.920
As -0.911 -0.049 2.429
Cr 0.000 0.000 0.000
Gd -1.746 0.346 5.175
```

The calculation puts the density at 7.303 g/cm³. The calculation puts the energy relative to the elements at -800 meV per atom. The value obtained for the total magnetization is 4.088 μB/f.u. The calculation puts the density of states at the Fermi level at 0.79 states/eV/f.u. For the calculated volume, the calculation gives 20.412 Å³ per atom.